(1)
Here is Pr4InPb3 after structural relaxation from Alexandria. Energies are from PBE.

Cell lengths 4.5213, 4.7524, 12.0317 Å; angles 90.00, 90.00, 90.00 degrees
With the nearest neighbours (Å) after each atom.
Space group Pmm2 (No. 25)
Symmetry-distinct sites (fractional):
Pr 0.0000 0.0000 0.0000  1 In 3.32, 6 Pb 3.32-3.67
Pr 0.0000 0.5000 0.4964  5 Pb 3.27-3.33, 2 In 3.56
Pr 0.5000 0.0000 0.7284  7 Pb 3.31-3.63
Pr 0.5000 0.5000 0.2283  3 Pb 3.27-3.57, 4 In 3.33
In 0.0000 0.0000 0.2756  2 Pb 3.08, 5 Pr 3.32-3.33
Pb 0.0000 0.5000 0.7678  2 Pb 3.20, 5 Pr 3.27-3.31
Pb 0.5000 0.0000 0.4497  2 In 3.08, 5 Pr 3.33-3.35
Pb 0.5000 0.5000 0.9567  2 Pb 3.20, 5 Pr 3.27-3.32

Summary:
ΔE_f   -4.44 eV per formula unit

=====

(2)
Here is K2SnCl2F4 after structural relaxation from Alexandria. Energies are from PBE.

Cell lengths 12.1168, 6.1129, 5.2322 Å; angles 90.00, 94.55, 90.00 degrees
With the nearest neighbours (Å) after each atom.
Space group C2/m (No. 12)
Symmetry-distinct sites (fractional):
K 0.1346 0.0000 0.1490  4 F 2.77-2.83
Sn 0.0000 0.5000 0.5000  4 F 2.01
Cl 0.1848 0.5000 0.3374  1 Sn 2.46
F 0.0496 0.2603 0.7469  1 Sn 2.01

Summary:
Formation energy without anion corrections   -2.300 eV per atom

=====

(3)
Here is Ta3V8Tc after structural relaxation from Alexandria. Energies are from PBE.

Cell lengths 5.0134, 5.0134, 24.5126 Å; angles 90.00, 90.00, 120.00 degrees
With the nearest neighbours (Å) after each atom.
Space group R3m (No. 160, hexagonal axes)
Symmetry-distinct sites (fractional):
Ta 0.0000 0.0000 0.0000  12 V 2.94-2.96, 4 Ta 3.07
Ta 0.0000 0.0000 0.1253  12 V 2.90-2.94, 3 Tc 3.07, 1 Ta 3.07
Ta 0.0000 0.0000 0.6246  12 V 2.94-2.96, 1 Tc 3.06, 3 Ta 3.07
V 0.0000 0.0000 0.3118  6 V 2.51-2.54
V 0.0000 0.0000 0.8129  6 V 2.48-2.49
V 0.0003 0.5002 0.0634  6 V 2.49-2.54
V 0.1670 0.3340 0.8948  6 V 2.48-2.51
Tc 0.0000 0.0000 0.4998  12 V 2.91-2.94, 4 Ta 3.06-3.07

Summary:
ΔE_f   -1.56 eV per formula unit

=====

(4)
Here is SrCr2Sb after structural relaxation from Alexandria. Energies are from PBE.

Cell lengths 3.7280, 4.9630, 5.4842 Å; angles 90.00, 93.45, 90.00 degrees
With the nearest neighbours (Å) after each atom.
Space group P2/m (No. 10)
Symmetry-distinct sites (fractional):
Sr 0.0000 0.0000 0.0000  4 Sb 3.22-3.41, 4 Cr 3.51
Cr 0.3302 0.5000 0.6195  1 Cr 1.88
Sb 0.5000 0.0000 0.5000  4 Cr 2.65

Summary:
Formation energy without anion corrections   0.558 eV per atom

=====

(5)
Here is HgAuSeN2 after structural relaxation from Alexandria. Energies are from PBE.

Cell lengths 3.9592, 3.9592, 7.8774 Å; angles 90.00, 90.00, 90.00 degrees
With the nearest neighbours (Å) after each atom.
Space group P4/mmm (No. 123)
Symmetry-distinct sites (fractional):
Hg 0.0000 0.0000 0.0000  4 Se 2.80
Au 0.5000 0.5000 0.5000  4 N 1.98
Se 0.5000 0.5000 0.0000  4 Hg 2.80
N 0.0000 0.5000 0.5000  2 Au 1.98

Summary:
Energy relative to the lowest polymorph listed for this composition   0 kJ/mol of formula units
Formation energy without anion corrections   1.530 eV per atom

=====

(6)
Here is RbRePb3 after structural relaxation from Alexandria. Energies are from PBE.

Cell lengths 5.4654, 5.4654, 5.4654 Å; angles 90.00, 90.00, 90.00 degrees
With the nearest neighbours (Å) after each atom.
Space group Pm-3m (No. 221)
Symmetry-distinct sites (fractional):
Rb 0.0000 0.0000 0.0000  12 Pb 3.86
Re 0.5000 0.5000 0.5000  6 Pb 2.73
Pb 0.0000 0.5000 0.5000  2 Re 2.73

Summary:
ΔE_f   2.23 eV per formula unit
Energy relative to the lowest polymorph listed for this composition   0 kJ/mol of formula units

=====

(7)
Here is Ba2Cd2Hg5 after structural relaxation from Alexandria. Energies are from PBE.

Cell lengths 4.9425, 4.9425, 11.5544 Å; angles 90.00, 90.00, 90.00 degrees
With the nearest neighbours (Å) after each atom.
Space group P4/mmm (No. 123)
Symmetry-distinct sites (fractional):
Ba 0.0000 0.0000 0.0000  8 Cd 3.79, 8 Hg 4.03
Ba 0.0000 0.0000 0.5000  12 Hg 3.49-3.58
Cd 0.5000 0.5000 0.1264  1 Cd 2.92, 4 Hg 3.02
Hg 0.0000 0.5000 0.2760  2 Cd 3.02
Hg 0.5000 0.5000 0.5000  4 Ba 3.49, 8 Hg 3.58

Summary:
ΔE_f   -2.76 eV per formula unit

=====

(8)
Here is FeCoRh3 after structural relaxation from Alexandria. Energies are from PBE.

Cell lengths 9.0909, 4.3254, 7.2645 Å; angles 90.00, 108.11, 90.00 degrees
With the nearest neighbours (Å) after each atom.
Space group C2/m (No. 12)
Symmetry-distinct sites (fractional):
Fe 0.1433 0.0000 0.0481  1 Fe 2.48, 7 Rh 2.50-2.64
Co 0.1303 0.5000 0.5296  1 Co 2.27, 2 Rh 2.47
Rh 0.0640 0.5000 0.8483  3 Fe 2.53-2.58, 2 Co 2.57-2.76, 4 Rh 2.71-2.79
Rh 0.0752 0.0000 0.3567  3 Co 2.47-2.55, 1 Fe 2.50, 3 Rh 2.71-2.76
Rh 0.2438 0.0000 0.7476  3 Co 2.61-2.69, 3 Fe 2.62-2.64, 4 Rh 2.76-2.91

Summary:
ΔE_f   0.51 eV per formula unit
Energy relative to the lowest polymorph listed for this composition   0 kJ/mol of formula units

=====

(9)
Here is Be2TlAs after structural relaxation from Alexandria. Energies are from PBE.

Cell lengths 3.1836, 3.2762, 6.7448 Å; angles 90.00, 90.00, 90.00 degrees
With the nearest neighbours (Å) after each atom.
Space group Pmmm (No. 47)
Symmetry-distinct sites (fractional):
Be 0.0000 0.0000 0.1552  1 Be 2.09
Tl 0.5000 0.5000 0.5000  4 Tl 3.18-3.28, 8 Be 3.26, 2 As 3.37
As 0.5000 0.5000 0.0000  8 Be 2.51

Summary:
ΔE_f   2.25 eV per formula unit
Energy relative to the lowest polymorph listed for this composition   139 kJ/mol of formula units

=====

(10)
Here is Rb3Tb2USe6 after structural relaxation from Alexandria. Energies are from PBE.

Cell lengths 7.4061, 12.8275, 8.3902 Å; angles 90.00, 107.11, 90.00 degrees
With the nearest neighbours (Å) after each atom.
Space group C2/m (No. 12)
Symmetry-distinct sites (fractional):
Rb 0.0000 0.0000 0.0000  6 Se 3.45-3.47
Rb 0.0000 0.3329 0.0000  6 Se 3.45-3.47
Tb 0.0000 0.1666 0.5000  6 Se 2.93
U 0.0000 0.5000 0.5000  6 Se 2.95
Se 0.2302 0.0000 0.6975  2 Tb 2.93, 1 U 2.95
Se 0.2335 0.3322 0.6973  2 Tb 2.93, 1 U 2.95

Summary:
Formation energy without anion corrections   -1.547 eV per atom

=====

(11)
Here is POs after structural relaxation from Alexandria. Energies are from PBE.

Cell lengths 2.8933, 2.8933, 11.0426 Å; angles 90.00, 90.00, 120.00 degrees
With the nearest neighbours (Å) after each atom.
Space group R-3m (No. 166, hexagonal axes)
Symmetry-distinct sites (fractional):
P 0.0000 0.0000 0.0000  6 Os 2.49
Os 0.0000 0.0000 0.5000  6 P 2.49

Summary:
ΔE_f   0.06 eV per formula unit

=====

(12)
Here is La2YCo9 after structural relaxation from Alexandria. Energies are from PBE.

Cell lengths 4.9941, 4.9941, 25.2384 Å; angles 90.00, 90.00, 120.00 degrees
With the nearest neighbours (Å) after each atom.
Space group R-3m (No. 166, hexagonal axes)
Symmetry-distinct sites (fractional):
La 0.0000 0.0000 0.1398  12 Co 2.95-3.27, 3 La 3.19
Y 0.0000 0.0000 0.0000  18 Co 2.88-3.17
Co 0.0000 0.0000 0.3324  6 Co 2.42-2.43
Co 0.0000 0.0000 0.5000  6 Co 2.66, 6 La 2.96
Co 0.0046 0.5023 0.0774  7 Co 2.42-2.66

Summary:
ΔE_f   -0.94 eV per formula unit